(P)
## ZrCoPS2 (GGA-PBE)

Data for a relaxed ZrCoPS2 crystal.

Unit cell a=4.9250 b=4.9250 c=5.0810 alpha=90.00 beta=90.00 gamma=90.00
Sites, in units of the cell vectors:
Zr1 0.0000 0.0000 0.0000
Co1 0.5000 0.5000 0.5000
P1 0.0000 0.0000 0.5000
S1 0.0000 0.5000 0.0000
S2 0.5000 0.0000 0.0000

Values from the calculation:
Fermi-level density of states in states/eV/atom: 1.312

(Q)
## ZrCoPS2 (GGA-PBE)

Data for a relaxed ZrCoPS2 crystal.

Unit cell a=4.4277 b=4.4277 c=4.2830 alpha=90.00 beta=90.00 gamma=90.00
Sites, in units of the cell vectors:
Zr1 0.0000 0.0000 0.0000
Co1 0.5000 0.5000 0.5000
P1 0.5000 0.5000 0.0000
S1 0.0000 0.5000 0.5000
S2 0.5000 0.0000 0.5000

Values from the calculation:
Fermi-level density of states in states/eV/atom: 0.732

Energies relative to the minimum, meV/atom: (P) 519; (Q) 0

(P)
## ZrCoP2S (GGA-PBE)

Data for a relaxed ZrCoP2S crystal.

Unit cell a=4.2600 b=4.2600 c=4.6363 alpha=90.00 beta=90.00 gamma=90.00
Sites, in units of the cell vectors:
Zr1 0.0000 0.0000 0.0000
Co1 0.5000 0.5000 0.5000
P1 0.0000 0.5000 0.5000
P2 0.5000 0.0000 0.5000
S1 0.5000 0.5000 0.0000

Values from the calculation:
Fermi-level density of states in states/eV/atom: 0.963

(Q)
## ZrCoP2S (GGA-PBE)

Data for a relaxed ZrCoP2S crystal.

Unit cell a=5.0230 b=5.0230 c=4.8933 alpha=90.00 beta=90.00 gamma=90.00
Sites, in units of the cell vectors:
Zr1 0.0000 0.0000 0.0000
Co1 0.5000 0.5000 0.5000
P1 0.0000 0.5000 0.0000
P2 0.5000 0.0000 0.0000
S1 0.0000 0.0000 0.5000

Values from the calculation:
Fermi-level density of states in states/eV/atom: 1.401

Energies relative to the minimum, meV/atom: (P) 0; (Q) 704

(P)
## Co3SbP (GGA-PBE)

Data for a relaxed Co3SbP crystal.

Unit cell a=4.2115 b=4.2115 c=4.2115 alpha=90.00 beta=90.00 gamma=90.00
Sites, in units of the cell vectors:
Co1 0.0000 0.0000 0.5000
Co2 0.0000 0.5000 0.0000
Co3 0.5000 0.0000 0.0000
Sb1 0.5000 0.5000 0.5000
P1 0.0000 0.0000 0.0000

Values from the calculation:
Fermi-level density of states in states/eV/atom: 1.771

(Q)
## Co3SbP (GGA-PBE)

Data for a relaxed Co3SbP crystal.

Unit cell a=4.6047 b=4.6047 c=4.6047 alpha=90.00 beta=90.00 gamma=90.00
Sites, in units of the cell vectors:
Co1 0.0000 0.0000 0.5000
Co2 0.0000 0.5000 0.0000
Co3 0.5000 0.0000 0.0000
Sb1 0.0000 0.0000 0.0000
P1 0.5000 0.5000 0.5000

Values from the calculation:
Fermi-level density of states in states/eV/atom: 0.715

Energies relative to the minimum, meV/atom: (P) 0; (Q) 1274

(P)
## CoSb2TeP (GGA-PBE)

Data for a relaxed CoSb2TeP crystal.

Unit cell a=5.0268 b=5.0268 c=5.2159 alpha=90.00 beta=90.00 gamma=90.00
Sites, in units of the cell vectors:
Co1 0.0000 0.0000 0.0000
Sb1 0.0000 0.5000 0.5000
Sb2 0.5000 0.0000 0.5000
Te1 0.5000 0.5000 0.0000
P1 0.5000 0.5000 0.5000

Values from the calculation:
Fermi-level density of states in states/eV/atom: 1.103

(Q)
## CoSb2TeP (GGA-PBE)

Data for a relaxed CoSb2TeP crystal.

Unit cell a=4.8365 b=4.8365 c=5.1008 alpha=90.00 beta=90.00 gamma=90.00
Sites, in units of the cell vectors:
Co1 0.0000 0.0000 0.0000
Sb1 0.0000 0.5000 0.0000
Sb2 0.5000 0.0000 0.0000
Te1 0.0000 0.0000 0.5000
P1 0.5000 0.5000 0.5000

Values from the calculation:
Fermi-level density of states in states/eV/atom: 1.136

Energies relative to the minimum, meV/atom: (P) 554; (Q) 0

(P)
## ScCoP2 (GGA-PBE)

Data for a relaxed ScCoP2 crystal.

Unit cell a=3.5047 b=3.6392 c=4.7562 alpha=90.00 beta=90.00 gamma=90.00
Sites, in units of the cell vectors:
Sc1 0.0000 0.0000 0.0000
Co1 0.5000 0.0000 0.5000
P1 0.5000 0.5000 0.2420
P2 0.5000 0.5000 0.7580

Values from the calculation:
Fermi-level density of states in states/eV/atom: 0.608

(Q)
## ScCoP2 (GGA-PBE)

Data for a relaxed ScCoP2 crystal.

Unit cell a=2.8961 b=2.8961 c=7.8499 alpha=90.00 beta=90.00 gamma=90.00
Sites, in units of the cell vectors:
Sc1 0.0000 0.0000 0.0000
Co1 0.5000 0.5000 0.2572
P1 0.0000 0.0000 0.3841
P2 0.5000 0.5000 0.7736

Values from the calculation:
Fermi-level density of states in states/eV/atom: 0.474

Energies relative to the minimum, meV/atom: (P) 0; (Q) 462

(P)
## ScCoP2 (GGA-PBE)

Data for a relaxed ScCoP2 crystal.

Unit cell a=8.2886 b=3.2749 c=4.4761 alpha=90.00 beta=105.14 gamma=90.00
Sites, in units of the cell vectors:
Sc1 0.0000 0.0000 0.0000
Sc2 0.5000 0.5000 0.0000
Co1 0.2778 0.5000 0.4110
Co2 0.7778 0.0000 0.4110
P1 0.2438 0.0000 0.7283
P2 0.4974 0.0000 0.4991
P3 0.7438 0.5000 0.7283
P4 0.9974 0.5000 0.4991

Values from the calculation:
Fermi-level density of states in states/eV/atom: 0.802

(Q)
## ScCoP2 (GGA-PBE)

Data for a relaxed ScCoP2 crystal.

Unit cell a=3.8876 b=3.8742 c=4.1650 alpha=90.00 beta=98.77 gamma=90.00
Sites, in units of the cell vectors:
Sc1 0.0000 0.0000 0.0000
Co1 0.3613 0.5000 0.5946
P1 0.5257 0.5000 0.1077
P2 0.5765 0.0000 0.4590

Values from the calculation:
Fermi-level density of states in states/eV/atom: 0.340

Energies relative to the minimum, meV/atom: (P) 48; (Q) 0

(P)
## ScCoP3 (GGA-PBE)

Data for a relaxed ScCoP3 crystal.

Unit cell a=4.3971 b=4.3971 c=4.3971 alpha=90.00 beta=90.00 gamma=90.00
Sites, in units of the cell vectors:
Sc1 0.0000 0.0000 0.0000
Co1 0.5000 0.5000 0.5000
P1 0.0000 0.5000 0.5000
P2 0.5000 0.0000 0.5000
P3 0.5000 0.5000 0.0000

Values from the calculation:
Fermi-level density of states in states/eV/atom: 1.185

(Q)
## ScCoP3 (GGA-PBE)

Data for a relaxed ScCoP3 crystal.

Unit cell a=4.8242 b=4.8242 c=4.8242 alpha=90.00 beta=90.00 gamma=90.00
Sites, in units of the cell vectors:
Sc1 0.0000 0.0000 0.0000
Co1 0.5000 0.5000 0.5000
P1 0.0000 0.0000 0.5000
P2 0.0000 0.5000 0.0000
P3 0.5000 0.0000 0.0000

Values from the calculation:
Fermi-level density of states in states/eV/atom: 2.266

Energies relative to the minimum, meV/atom: (P) 0; (Q) 1039

(P)
## ScCo3P2 (GGA-PBE)

Data for a relaxed ScCo3P2 crystal.

Unit cell a=7.5261 b=7.5261 c=8.9112 alpha=106.96 beta=106.96 gamma=27.42
Sites, in units of the cell vectors:
Sc1 0.0000 0.0000 0.0000
Sc2 0.1553 0.1553 0.6950
Sc3 0.8447 0.8447 0.3050
Co1 0.0420 0.0420 0.3309
Co2 0.2173 0.2173 0.3926
Co3 0.3211 0.3211 0.0355
Co4 0.3781 0.3781 0.7943
Co5 0.5000 0.5000 0.5000
Co6 0.6219 0.6219 0.2057
Co7 0.6789 0.6789 0.9645
Co8 0.7827 0.7827 0.6074
Co9 0.9580 0.9580 0.6691
P1 0.1973 0.1973 0.1324
P2 0.3609 0.3609 0.5435
P3 0.4610 0.4610 0.2180
P4 0.5390 0.5390 0.7820
P5 0.6391 0.6391 0.4565
P6 0.8027 0.8027 0.8676

Values from the calculation:
Fermi-level density of states in states/eV/atom: 0.533

(Q)
## ScCo3P2 (GGA-PBE)

Data for a relaxed ScCo3P2 crystal.

Unit cell a=4.7056 b=4.7056 c=10.5002 alpha=90.00 beta=90.00 gamma=120.00
Sites, in units of the cell vectors:
Sc1 0.0000 0.0000 0.0000
Sc2 0.0000 0.0000 0.5000
Co1 0.1598 0.3196 0.2500
Co2 0.1598 0.8402 0.2500
Co3 0.3196 0.1598 0.7500
Co4 0.6804 0.8402 0.2500
Co5 0.8402 0.1598 0.7500
Co6 0.8402 0.6804 0.7500
P1 0.3333 0.6667 0.0851
P2 0.3333 0.6667 0.4149
P3 0.6667 0.3333 0.5851
P4 0.6667 0.3333 0.9149

Values from the calculation:
Fermi-level density of states in states/eV/atom: 0.930

Energies relative to the minimum, meV/atom: (P) 0; (Q) 795